The following is a DFT calculation (PBE-GGA) of a relaxed structure of UNCl.

Cell lengths 4.2178, 4.2178, 4.2178 Å; angles 60.00, 60.00, 60.00 degrees
Closest atoms and distances in Å follow each position.
Positions (direct):
N 0.5000 0.5000 0.5000  4 U 2.58
U 0.2500 0.2500 0.2500  4 Cl 2.58, 4 N 2.58
Cl 0.0000 0.0000 0.0000  4 U 2.58

Properties
ΔE_f (raw) in kJ/mol of formula units: -204
Crystal system: cubic
Calculated total energy in eV/atom: -7.859